Ru3RhPb, optimized geometry, DFT PBE-GGA; final energy = -6.219 eV per atom; E_form = 35.929 kcal/mol of atoms
1.0
4.7064 0.0000 0.0000
0.0000 4.7064 0.0000
0.0000 0.0000 4.7064
Pb Ru Rh
1 3 1
Cartesian
2.3532 2.3532 2.3532
0.0000 0.0000 2.3532
2.3532 0.0000 0.0000
0.0000 2.3532 0.0000
0.0000 0.0000 0.0000